[1]
DFT (PBE) results for NaGdMgSn after structural relaxation.

Results
energy relative to the elements: -253 meV/atom
mass density: 5.1 Mg/m³
total energy: -5.50 eV per atom
volume: 106.2 Å³/f.u.

Cell lengths 7.517, 7.517, 7.517 Å; angles 90.00, 90.00, 90.00 degrees
Space group F-43m (No. 216)
Unique sites:
1 Na 0.000 0.000 0.000 (multiplicity 4)
2 Gd 0.000 0.000 0.500 (multiplicity 4)
3 Mg 0.250 0.250 0.750 (multiplicity 4)
4 Sn 0.250 0.250 0.250 (multiplicity 4)

***

[2]
DFT (PBE) results for Mg2AgHAu after structural relaxation.

Results
mass density: 7.8 Mg/m³
total energy: -2.76 eV per atom
volume: 75.8 Å³/f.u.

Cell lengths 4.503, 4.503, 3.740 Å; angles 90.00, 90.00, 90.00 degrees
Space group P4/mmm (No. 123)
Unique sites:
1 Mg 0.000 0.500 0.000 (multiplicity 2)
2 Ag 0.000 0.000 0.500 (multiplicity 1)
3 H 0.000 0.000 0.000 (multiplicity 1)
4 Au 0.500 0.500 0.500 (multiplicity 1)

***

[3]
DFT (PBE) results for Ca2SbPd2 after structural relaxation.

Results
mass density: 6.0 Mg/m³
total energy: -4.46 eV per atom
E_form (uncorrected): -0.76 eV per atom
volume: 115.2 Å³/f.u.
relative energy among the computed polymorphs: 0.093 eV per atom

Cell lengths 7.293, 7.293, 4.331 Å; angles 90.00, 90.00, 90.00 degrees
Space group P4/mbm (No. 127)
Unique sites:
1 Ca 0.174 0.326 0.000 (multiplicity 4)
2 Sb 0.000 0.000 0.500 (multiplicity 2)
3 Pd 0.135 0.635 0.500 (multiplicity 4)

***

[4]
DFT (PBE) results for RbNb3Hg after structural relaxation.

Results
energy relative to the elements: 2066 meV/atom
mass density: 6.3 Mg/m³
total energy: -4.23 eV per atom
volume: 149.7 Å³/f.u.
relative energy among the computed polymorphs: 0.000 eV per atom

Cell lengths 5.309, 5.309, 5.309 Å; angles 90.00, 90.00, 90.00 degrees
Space group Pm-3m (No. 221)
Unique sites:
1 Rb 0.000 0.000 0.000 (multiplicity 1)
2 Nb 0.000 0.500 0.500 (multiplicity 3)
3 Hg 0.500 0.500 0.500 (multiplicity 1)

***

[5]
DFT (PBE) results for DyTmSnRh after structural relaxation.

Results
energy relative to the elements: -668 meV/atom
mass density: 10.0 Mg/m³
total energy: -5.78 eV per atom
volume: 91.9 Å³/f.u.

Cell lengths 7.164, 7.164, 7.164 Å; angles 90.00, 90.00, 90.00 degrees
Space group F-43m (No. 216)
Unique sites:
1 Dy 0.000 0.000 0.000 (multiplicity 4)
2 Tm 0.000 0.000 0.500 (multiplicity 4)
3 Sn 0.250 0.250 0.750 (multiplicity 4)
4 Rh 0.250 0.250 0.250 (multiplicity 4)

***

[6]
DFT (PBE) results for Tb2Sb2H after structural relaxation.

Results
mass density: 7.6 Mg/m³
total energy: -4.99 eV per atom
volume: 122.2 Å³/f.u.

Cell lengths 4.304, 18.412, 6.167 Å; angles 90.00, 90.00, 90.00 degrees
Space group Cmc2_1 (No. 36)
Unique sites:
1 Tb 0.000 0.092 0.000 (multiplicity 4)
2 Tb 0.000 0.334 0.054 (multiplicity 4)
3 Sb 0.000 0.289 0.549 (multiplicity 4)
4 Sb 0.000 0.494 0.777 (multiplicity 4)
5 H 0.000 0.126 0.658 (multiplicity 4)

***

Which of these has the lowest volume?
Mg2AgHAu

***

Among the records above, which one has the highest total energy?
Mg2AgHAu

***

Repeat the third record exactly.
DFT (PBE) results for Ca2SbPd2 after structural relaxation.

Results
mass density: 6.0 Mg/m³
total energy: -4.46 eV per atom
E_form (uncorrected): -0.76 eV per atom
volume: 115.2 Å³/f.u.
relative energy among the computed polymorphs: 0.093 eV per atom

Cell lengths 7.293, 7.293, 4.331 Å; angles 90.00, 90.00, 90.00 degrees
Space group P4/mbm (No. 127)
Unique sites:
1 Ca 0.174 0.326 0.000 (multiplicity 4)
2 Sb 0.000 0.000 0.500 (multiplicity 2)
3 Pd 0.135 0.635 0.500 (multiplicity 4)

***

The highest total energy belongs to which entry?
Mg2AgHAu